A geometry-optimized NaInSbIr structure, computed with GGA-PBE.

Unit cell a=6.9150 b=6.9150 c=6.9150 alpha=90.00 beta=90.00 gamma=90.00
Element x y z (fractional)
Na 0.0000 0.0000 0.0000
Na 0.0000 0.5000 0.5000
Na 0.5000 0.0000 0.5000
Na 0.5000 0.5000 0.0000
In 0.2500 0.2500 0.2500
In 0.2500 0.7500 0.7500
In 0.7500 0.2500 0.7500
In 0.7500 0.7500 0.2500
Sb 0.0000 0.0000 0.5000
Sb 0.0000 0.5000 0.0000
Sb 0.5000 0.0000 0.0000
Sb 0.5000 0.5000 0.5000
Ir 0.2500 0.2500 0.7500
Ir 0.2500 0.7500 0.2500
Ir 0.7500 0.2500 0.2500
Ir 0.7500 0.7500 0.7500

Raw total energy = -63.5 eV per cell
Distance to the lowest polymorph of the same formula = 1.33 eV per formula unit